# 1
This record from the Alexandria database describes a relaxed structure of Co3BrF. The functional is GGA+U.

The value obtained for the offset from the most stable computed form is 0 kJ/mol of formula units. Its total moment is 1.1875 μB per atom. The calculation puts the density at 5.62 g cm⁻³. As for the crystal system: cubic.

The space group is Pm-3m (No. 221) and the conventional cell measures 4.3337, 4.3337 and 4.3337 Å, with angles of 90.00, 90.00 and 90.00 degrees. The asymmetric unit holds Co at (0.0000, 0.0000, 0.5000), Br at (0.5000, 0.5000, 0.5000) and F at (0.0000, 0.0000, 0.0000).

=====

# 2
This record from the Alexandria database describes a relaxed structure of CoBrF. The functional is GGA+U.

For the total DFT energy (no corrections), the calculation gives -4.17 eV per atom. Its total moment is 0.9993 μB per atom. The calculation puts the density at 4.09 g cm⁻³. As for the crystal system: monoclinic.

The space group is C2/m (No. 12) and the conventional cell measures 13.0675, 3.5217 and 5.8495 Å, with angles of 90.00, 107.57 and 90.00 degrees. The asymmetric unit holds Co at (0.2493, 0.0000, 0.2346), Br at (0.1233, 0.5000, 0.3354) and F at (0.1825, 0.0000, 0.8666).

=====

# 3
This record from the Alexandria database describes a relaxed structure of Co5Br12F3. The functional is GGA+U.

For the total DFT energy (no corrections), the calculation gives -2.74 eV per atom. Its total moment is 0.6081 μB per atom. The calculation puts the density at 4.45 g cm⁻³. As for the crystal system: cubic.

The space group is Ia-3d (No. 230) and the conventional cell measures 15.7599, 15.7599 and 15.7599 Å, with angles of 90.00, 90.00 and 90.00 degrees. The asymmetric unit holds Co at (0.0000, 0.0000, 0.0000), Co at (0.0000, 0.2500, 0.3750), Br at (0.0318, 0.0554, 0.6419) and F at (0.0000, 0.2500, 0.1250).

=====

# 4
This record from the Alexandria database describes a relaxed structure of CoBrF3. The functional is GGA+U.

The value obtained for the offset from the most stable computed form is 0 kJ/mol of formula units. Its total moment is 0.6468 μB per atom. The calculation puts the density at 4.79 g cm⁻³. As for the crystal system: cubic.

The space group is Pm-3m (No. 221) and the conventional cell measures 4.0786, 4.0786 and 4.0786 Å, with angles of 90.00, 90.00 and 90.00 degrees. The asymmetric unit holds Co at (0.0000, 0.0000, 0.0000), Br at (0.5000, 0.5000, 0.5000) and F at (0.0000, 0.0000, 0.5000).